# Sc3Cu

A relaxed Sc3Cu crystal (GGA-PBE, Alexandria via LeMat-Bulk).

POSCAR file:
```
Sc3Cu
1.0
5.027 0.000 0.000
0.000 5.027 0.000
0.000 0.000 5.027
Sc Cu
3 1
direct
0.000 0.000 0.500
0.000 0.500 0.000
0.500 0.000 0.000
0.000 0.000 0.000
```

E_form = 0.61 eV per atom
Energy relative to the lowest polymorph listed for this composition = 743 meV/atom
Uncorrected energy = -5.166 eV/atom